# Cs2Tl2CoF6 (PBE with a Hubbard U, relaxed)
# * N(E_F): 0.00 states/eV/atom
# * calculated total energy: -4.25 eV/atom
# * total moment: 3.000 μB/f.u.
data_Cs2Tl2CoF6
_chemical_formula_sum 'Cs4 Tl4 Co2 F12'
_symmetry_space_group_name_H-M 'C 1 2/m 1'
_symmetry_Int_Tables_number 12
_cell_length_a 7.208
_cell_length_b 12.167
_cell_length_c 6.354
_cell_angle_alpha 90.00
_cell_angle_beta 103.43
_cell_angle_gamma 90.00
loop_
_symmetry_equiv_pos_as_xyz
'x,y,z'
'-x,-y,-z'
'-x,y,-z'
'x,-y,z'
'x+1/2,y+1/2,z'
'-x+1/2,-y+1/2,-z'
'-x+1/2,y+1/2,-z'
'x+1/2,-y+1/2,z'
loop_
_atom_site_label
_atom_site_fract_x
_atom_site_fract_y
_atom_site_fract_z
Cs1 0.000 0.158 0.000
Tl1 0.000 0.348 0.500
Co1 0.000 0.500 0.000
F1 0.165 0.378 0.173
F2 0.169 0.500 0.749